A | ## CoAsPO (PBE+U)

Data for a relaxed structure of CoAsPO.

## Properties
Calculated volume = 105 Å³/cell

abc: 3.6425 3.6425 7.9185
angles: 90.00 90.00 90.00
Closest atoms and distances in Å follow each position.
Sites, in units of the cell vectors:
As 0.0000 0.5000 0.1421  4 O 2.14
As 0.5000 0.0000 0.8579  4 O 2.14
Co 0.0000 0.0000 0.5000  4 P 2.16
Co 0.5000 0.5000 0.5000  4 P 2.16
O 0.0000 0.0000 0.0000  4 As 2.14
O 0.5000 0.5000 0.0000  4 As 2.14
P 0.5000 0.0000 0.3529  4 Co 2.16
P 0.0000 0.5000 0.6471  4 Co 2.16

***

B | ## CoAsPO (PBE+U)

Data for a relaxed structure of CoAsPO.

## Properties
Calculated volume = 143 Å³/cell

abc: 4.2116 4.2116 8.0681
angles: 90.00 90.00 90.00
Closest atoms and distances in Å follow each position.
Sites, in units of the cell vectors:
As 0.7500 0.2500 0.5000  4 P 2.41
As 0.2500 0.7500 0.5000  4 P 2.41
Co 0.7500 0.7500 0.0035  4 O 2.11
Co 0.2500 0.2500 0.9965  4 O 2.11
O 0.7500 0.2500 0.0000  4 Co 2.11
O 0.2500 0.7500 0.0000  4 Co 2.11
P 0.7500 0.7500 0.3542  4 As 2.41
P 0.2500 0.2500 0.6458  4 As 2.41

***

The energy of each structure relative to the most stable one, in kJ/mol of atoms, is as follows: A 0.0; B 4.4.